No. 1
Below is Sm2Tm3PuS6 after structural relaxation, with properties calculated at the PBE level.

The space group is C2/m (No. 12) and the conventional cell measures 17.126, 3.884 and 7.899 Å, with angles of 90.00, 104.08 and 90.00 degrees. The asymmetric unit holds Sm at (0.165, 0.000, 0.331), Tm at (0.000, 0.500, 0.500), Tm at (0.166, 0.000, 0.836), Pu at (0.000, 0.500, 0.000), S at (0.004, 0.000, 0.745), S at (0.164, 0.500, 0.593) and S at (0.169, 0.500, 0.075).

For the energy relative to the elements, uncorrected, the calculation gives -1.96 eV per atom.

No. 2
Below is Sm3Tm2PuS6 after structural relaxation, with properties calculated at the PBE level.

The space group is C2/m (No. 12) and the conventional cell measures 17.224, 3.916 and 7.939 Å, with angles of 90.00, 103.66 and 90.00 degrees. The asymmetric unit holds Sm at (0.000, 0.000, 0.000), Sm at (0.164, 0.500, 0.335), Tm at (0.164, 0.500, 0.828), Pu at (0.000, 0.000, 0.500), S at (0.004, 0.500, 0.748), S at (0.167, 0.000, 0.594) and S at (0.171, 0.000, 0.074).

For the energy relative to the elements, uncorrected, the calculation gives -1.97 eV per atom.

No. 3
Below is SmTm2PuS4 after structural relaxation, with properties calculated at the PBE level.

The space group is P2/m (No. 10) and the conventional cell measures 6.768, 3.889 and 6.811 Å, with angles of 90.00, 109.09 and 90.00 degrees. The asymmetric unit holds Sm at (0.000, 0.000, 0.000), Tm at (0.000, 0.500, 0.500), Tm at (0.500, 0.000, 0.500), Pu at (0.500, 0.500, 0.000), S at (0.248, 0.000, 0.738) and S at (0.256, 0.500, 0.263).

For the energy relative to the elements, uncorrected, the calculation gives -1.94 eV per atom.

No. 4
Below is Sm2TmPuS4 after structural relaxation, with properties calculated at the PBE level.

The space group is P2/m (No. 10) and the conventional cell measures 6.848, 3.934 and 6.869 Å, with angles of 90.00, 109.15 and 90.00 degrees. The asymmetric unit holds Sm at (0.000, 0.000, 0.000), Sm at (0.500, 0.500, 0.000), Tm at (0.000, 0.500, 0.500), Pu at (0.500, 0.000, 0.500), S at (0.241, 0.000, 0.738) and S at (0.249, 0.500, 0.259).

For the energy relative to the elements, uncorrected, the calculation gives -1.96 eV per atom.

No. 5
Below is SmPuU2S4 after structural relaxation, with properties calculated at the PBE level.

The space group is P2/m (No. 10) and the conventional cell measures 6.662, 3.847 and 7.005 Å, with angles of 90.00, 108.51 and 90.00 degrees. The asymmetric unit holds Sm at (0.000, 0.000, 0.000), Pu at (0.500, 0.500, 0.000), U at (0.000, 0.500, 0.500), U at (0.500, 0.000, 0.500), S at (0.252, 0.000, 0.748) and S at (0.254, 0.500, 0.255).

For the energy relative to the elements, uncorrected, the calculation gives -1.62 eV per atom.

No. 6
Below is SmPu2US4 after structural relaxation, with properties calculated at the PBE level.

The space group is P2/m (No. 10) and the conventional cell measures 6.827, 3.915 and 6.884 Å, with angles of 90.00, 108.96 and 90.00 degrees. The asymmetric unit holds Sm at (0.000, 0.000, 0.000), Pu at (0.000, 0.500, 0.500), Pu at (0.500, 0.000, 0.500), U at (0.500, 0.500, 0.000), S at (0.255, 0.000, 0.748) and S at (0.257, 0.500, 0.254).

For the energy relative to the elements, uncorrected, the calculation gives -1.72 eV per atom.

No. 7
Below is Sm2YPuS4 after structural relaxation, with properties calculated at the PBE level.

The space group is P2/m (No. 10) and the conventional cell measures 6.883, 3.957 and 6.893 Å, with angles of 90.00, 109.21 and 90.00 degrees. The asymmetric unit holds Sm at (0.000, 0.000, 0.000), Sm at (0.500, 0.500, 0.000), Y at (0.000, 0.500, 0.500), Pu at (0.500, 0.000, 0.500), S at (0.246, 0.000, 0.743) and S at (0.251, 0.500, 0.256).

For the energy relative to the elements, uncorrected, the calculation gives -1.97 eV per atom.

No. 8
Below is Sm3Y2PuS6 after structural relaxation, with properties calculated at the PBE level.

The space group is C2/m (No. 12) and the conventional cell measures 17.311, 3.949 and 7.972 Å, with angles of 90.00, 103.42 and 90.00 degrees. The asymmetric unit holds Sm at (0.000, 0.000, 0.000), Sm at (0.166, 0.500, 0.335), Y at (0.164, 0.500, 0.829), Pu at (0.000, 0.000, 0.500), S at (0.002, 0.500, 0.747), S at (0.166, 0.000, 0.589) and S at (0.170, 0.000, 0.078).

For the energy relative to the elements, uncorrected, the calculation gives -1.99 eV per atom.

no.,energy (eV/atom)
1,-7.12
2,-7.16
3,-7.50
4,-7.55
5,-8.89
6,-9.37
7,-7.82
8,-7.51